# MnAgCl

A relaxed structure of MnAgCl (PBE-GGA, Alexandria via LeMat-Bulk).

Values from the calculation:
* total magnetization: 4.5 μB per formula unit
* uncorrected formation energy: -63 meV/atom
* polymorph energy (0 for the lowest one): 0.065 eV per atom

Lattice parameters (Å, degrees): 6.7178 6.7178 6.7178 153.17 153.16 38.31
Closest atoms and distances in Å follow each position.
Positions (direct):
1 Ag 0.9666 0.9666 0.0000  4 Mn 2.85, 4 Ag 3.12
2 Cl 0.7093 0.7093 0.0000  4 Mn 2.64
3 Mn 0.3242 0.3242 0.0000  4 Cl 2.64, 4 Ag 2.85